Record 1
10
Lattice="8.1074 -2.5556 0.0000 8.1074 2.5556 0.0000 -2.0769 0.0000 7.0808" Properties=species:S:1:pos:R:3 comment="Tb2Si2I, optimized geometry, DFT PBE-GGA" formation_energy_uncorrected_ev_per_atom=-0.62 total_magnetization_mub_per_fu=0.00 n_ef_per_ev_cell=3.54 space_group="C2/c, No. 15" pbc="T T T"
Tb 2.2857 0.5738 0.9954
Tb 1.2473 -0.5738 4.5357
Tb 12.8907 0.5738 2.5450
Tb 11.8522 -0.5738 6.0854
Si 3.8210 0.4683 3.5483
Si 4.8595 -0.4683 0.0080
Si 9.2784 0.4683 7.0728
Si 10.3169 -0.4683 3.5324
I 7.5882 1.7076 1.7702
I 6.5497 -1.7076 5.3106

Record 2
5
Lattice="4.8325 0.0000 0.0000 0.0000 4.8325 0.0000 0.0000 0.0000 4.8325" Properties=species:S:1:pos:R:3 comment="SiTc3I, optimized geometry, DFT PBE-GGA" formation_energy_uncorrected_ev_per_atom=2.23 total_magnetization_mub_per_fu=3.91 n_ef_per_ev_cell=4.88 space_group="Pm-3m, No. 221" pbc="T T T"
Si 0.0000 0.0000 0.0000
Tc 0.0000 2.4162 2.4162
Tc 2.4162 0.0000 2.4162
Tc 2.4162 2.4162 0.0000
I 2.4162 2.4162 2.4162